1.
{
  "formula": "Si3H",
  "functional": "PBEsol",
  "state": "optimized geometry",
  "dft_energy_ry_per_atom": -0.3741,
  "vol_a3_per_atom": 17.96,
  "cell": [[-2.086, -1.173, 2.995], [-2.763, -2.610, -0.493], [5.832, -9.516, 2.789]],
  "species": ["H", "Si", "Si", "Si", "Si", "Si", "Si", "H"],
  "frac_coords": [[0.815, 0.815, 0.554], [0.771, 0.771, 0.688], [0.655, 0.655, 0.035], [0.345, 0.345, 0.965], [0.585, 0.585, 0.244], [0.229, 0.229, 0.312], [0.415, 0.415, 0.756], [0.185, 0.185, 0.446]]
}

=====

2.
{
  "formula": "FeCoRh2",
  "functional": "PBEsol",
  "state": "optimized geometry",
  "dft_energy_ry_per_atom": -0.6018,
  "ef_ev_per_atom": 0.06,
  "vol_a3_per_atom": 12.19,
  "cell": [[2.627, 0.000, 0.000], [0.000, 2.627, 0.000], [0.000, 0.000, 7.067]],
  "species": ["Fe", "Rh", "Co", "Rh"],
  "frac_coords": [[0.500, 0.500, 0.737], [0.000, 0.000, 0.990], [0.000, 0.000, 0.509], [0.500, 0.500, 0.263]]
}

=====

Which formula does entry 1 have? Si3H

=====

Please write out number 1 again, unchanged.
{
  "formula": "Si3H",
  "functional": "PBEsol",
  "state": "optimized geometry",
  "dft_energy_ry_per_atom": -0.3741,
  "vol_a3_per_atom": 17.96,
  "cell": [[-2.086, -1.173, 2.995], [-2.763, -2.610, -0.493], [5.832, -9.516, 2.789]],
  "species": ["H", "Si", "Si", "Si", "Si", "Si", "Si", "H"],
  "frac_coords": [[0.815, 0.815, 0.554], [0.771, 0.771, 0.688], [0.655, 0.655, 0.035], [0.345, 0.345, 0.965], [0.585, 0.585, 0.244], [0.229, 0.229, 0.312], [0.415, 0.415, 0.756], [0.185, 0.185, 0.446]]
}